# 1
Crystalline Y5P2S2 at its relaxed geometry, computed with GGA-PBE.

The value obtained for the uncorrected formation energy is -1.452 eV per atom. For the total magnetization, the calculation gives 0.000 μB/atom.

Unit cell a=7.9296 b=7.9296 c=7.4714 alpha=90.00 beta=90.00 gamma=55.75
Element x y z (fractional)
Y: 0.0000 0.0000 0.0000
Y: 0.0240 0.7043 0.6542
Y: 0.2043 0.5240 0.1542
Y: 0.2957 0.9760 0.6542
Y: 0.4760 0.7957 0.1542
Y: 0.5000 0.5000 0.5000
Y: 0.5240 0.2043 0.8458
Y: 0.7043 0.0240 0.3458
Y: 0.7957 0.4760 0.8458
Y: 0.9760 0.2957 0.3458
P: 0.1457 0.8543 0.3554
P: 0.3543 0.6457 0.8554
P: 0.6457 0.3543 0.1446
P: 0.8543 0.1457 0.6446
S: 0.1961 0.1961 0.0000
S: 0.3039 0.3039 0.5000
S: 0.6961 0.6961 0.5000
S: 0.8039 0.8039 0.0000

# 2
Crystalline ZrSiGe at its relaxed geometry, computed with GGA-PBE.

The calculation puts the excess energy over the best structure of this formula in the dataset at 172 meV per atom. The value obtained for the uncorrected formation energy is -0.460 eV per atom. For the total magnetization, the calculation gives 0.000 μB/atom.

Unit cell a=3.7161 b=3.7161 c=14.2439 alpha=90.00 beta=90.00 gamma=120.00
Element x y z (fractional)
Zr: 0.0000 0.0000 0.0000
Zr: 0.3333 0.6667 0.6667
Zr: 0.6667 0.3333 0.3333
Si: 0.0000 0.0000 0.2106
Si: 0.3333 0.6667 0.8772
Si: 0.6667 0.3333 0.5439
Ge: 0.0000 0.0000 0.7938
Ge: 0.3333 0.6667 0.4604
Ge: 0.6667 0.3333 0.1271

# 3
Crystalline LiAcGaSn2 at its relaxed geometry, computed with GGA-PBE.

The total energy is -0.285 Ry/atom. For the total magnetization, the calculation gives 0.000 μB/atom.

Unit cell a=4.5428 b=4.5428 c=12.7029 alpha=90.00 beta=90.00 gamma=90.00
Element x y z (fractional)
Li: 0.0000 0.0000 0.0000
Li: 0.5000 0.5000 0.5000
Ac: 0.0000 0.5000 0.7500
Ac: 0.5000 0.0000 0.2500
Ga: 0.0000 0.0000 0.5000
Ga: 0.5000 0.5000 0.0000
Sn: 0.0000 0.5000 0.1314
Sn: 0.0000 0.5000 0.3686
Sn: 0.5000 0.0000 0.6314
Sn: 0.5000 0.0000 0.8686

# 4
Crystalline PPtPb at its relaxed geometry, computed with GGA-PBE.

The calculation puts the excess energy over the best structure of this formula in the dataset at 30 meV per atom. For the total magnetization, the calculation gives 0.000 μB/atom.

Unit cell a=6.3990 b=6.3990 c=6.3990 alpha=90.00 beta=90.00 gamma=90.00
Element x y z (fractional)
P: 0.0807 0.4193 0.5807
P: 0.4193 0.5807 0.0807
P: 0.5807 0.0807 0.4193
P: 0.9193 0.9193 0.9193
Pt: 0.1710 0.6710 0.8290
Pt: 0.3290 0.3290 0.3290
Pt: 0.6710 0.8290 0.1710
Pt: 0.8290 0.1710 0.6710
Pb: 0.1015 0.8985 0.3985
Pb: 0.3985 0.1015 0.8985
Pb: 0.6015 0.6015 0.6015
Pb: 0.8985 0.3985 0.1015